The following is a DFT calculation (PBE-GGA) of crystalline Mn2CrRe at its relaxed geometry.

Its density of states at the Fermi level is 5.1 states/eV/f.u. Its formation energy is 36 kJ/mol of formula units. Its volume is 12.57 A^3/atom. As for the calculated density: 11.5 Mg/m³.

It has space group Pm (No. 6), with a = 2.557 Å, b = 4.134 Å, c = 4.821 Å, α = 90.00°, β = 99.53° and γ = 90.00°. The asymmetric unit holds Mn at (0.000, 0.000, 0.000), Mn at (0.242, 0.500, 0.743), Cr at (0.498, 0.000, 0.519) and Re at (0.721, 0.500, 0.244).